Compound: Sr2Li3ErBi4
Source: Alexandria via LeMat-Bulk
Functional: PBE
Structure: optimized geometry

Structure (POSCAR):
```
Sr2Li3ErBi4
1.0
-1.602 0.872 4.601
4.093 -2.102 1.823
5.532 10.686 -0.099
Bi Li Er Sr
4 3 1 2
direct
0.500 0.500 0.000
0.500 0.000 0.649
0.000 0.500 0.351
0.000 0.000 0.000
0.500 0.000 0.879
0.000 0.500 0.121
0.000 0.000 0.500
0.500 0.500 0.500
0.000 0.500 0.778
0.500 0.000 0.222
```

The formation energy is -0.66 eV/atom. The density comes out at 6.8 g cm⁻³.